Entry 1:
Material: CdInPd4
Method: DFT, GGA-PBE
State: optimized geometry

Computed properties:
Calculated total energy = -4.45 eV per atom
Volume = 16.9 A^3/atom
Energy above the most stable polymorph in this dataset = 0 meV/atom
Space-group type = C2/m (12)
Crystal system = monoclinic

abc: 3.0261 5.0176 7.3596
angles: 99.43 78.14 72.45
Closest atoms and distances in Å follow each position.
Sites, in units of the cell vectors:
Pd  0.6722  0.9909  0.6648  3 In 2.80-2.96, 7 Pd 2.83-3.03, 2 Cd 2.84
Pd  0.3278  0.0091  0.3352  3 In 2.80-2.96, 7 Pd 2.83-3.03, 2 Cd 2.84
Pd  0.8369  0.4961  0.8301  2 In 2.82, 7 Pd 2.86-3.03, 3 Cd 2.86-2.92
Pd  0.1631  0.5039  0.1699  2 In 2.82, 7 Pd 2.86-3.03, 3 Cd 2.86-2.92
In  0.5000  0.5000  0.5000  10 Pd 2.80-2.96, 2 In 3.03
Cd  0.0000  0.0000  0.0000  10 Pd 2.84-2.92, 2 Cd 3.03

Entry 2:
Material: HoZrRuRh
Method: DFT, GGA-PBE
State: optimized geometry

Computed properties:
Calculated total energy = -8.16 eV per atom
Volume = 18.7 A^3/atom
Energy above the most stable polymorph in this dataset = 0 meV/atom
Space-group type = P4mm (99)
Crystal system = tetragonal

abc: 3.3496 3.3496 6.6782
angles: 90.00 90.00 90.00
Closest atoms and distances in Å follow each position.
Sites, in units of the cell vectors:
Rh  0.5000  0.5000  0.1222  4 Zr 2.85, 4 Ho 2.96, 1 Ru 3.12
Zr  0.0000  0.0000  0.3599  4 Ru 2.82, 4 Rh 2.85
Ru  0.5000  0.5000  0.5891  4 Zr 2.82, 4 Ho 2.97, 1 Rh 3.12
Ho  0.0000  0.0000  0.8567  4 Rh 2.96, 4 Ru 2.97

- Which formula does entry 2 have?
  HoZrRuRh

- Which value of calculated total energy does entry 2 give?
  -8.16 eV per atom